(1)
## Ca4ErPa3P8 (GGA-PBE)

Data for a geometry-optimized Ca4ErPa3P8 structure.

Output
Formation energy from the elements = -1.299 eV/atom
Calculated density = 5.59 g/cm3
Symmetry = No. 166

Structure (POSCAR):
```
Ca4ErPa3P8
1.0
4.0530 2.3400 6.6185
-4.0530 2.3400 6.6185
0.0000 -4.6800 6.6185
Ca Er Pa P
4 1 3 8
Cartesian
0.0000 0.0000 0.0000
-2.0265 -1.1700 6.6185
-2.0265 1.1700 13.2369
0.0000 2.3400 6.6185
0.0000 0.0000 9.9277
-4.0530 0.0000 9.9277
-2.0265 1.1700 3.3092
2.0265 1.1700 3.3092
-2.0580 -1.1882 11.4478
0.0000 0.0000 4.8366
0.0000 -2.3764 8.4077
-2.0580 1.1882 8.4077
2.0580 -1.1882 11.4478
0.0000 2.3764 11.4478
0.0000 0.0000 15.0188
2.0580 1.1882 8.4077
```

---

(2)
## Ce2Fe2Co15 (GGA-PBE)

Data for a geometry-optimized Ce2Fe2Co15 structure.

Output
Formation energy from the elements = -0.099 eV/atom
Calculated density = 8.72 g/cm3
Symmetry = No. 166

Structure (POSCAR):
```
Ce2Fe2Co15
1.0
4.1655 2.4050 4.0440
-4.1655 2.4050 4.0440
0.0000 -4.8099 4.0440
Ce Fe Co
2 2 15
Cartesian
0.0000 0.0000 1.8656
0.0000 0.0000 10.2665
0.0000 0.0000 4.8690
0.0000 0.0000 7.2631
-2.0828 -1.2025 4.0440
0.0000 -2.3829 3.8555
-2.0636 1.1914 3.8555
-1.1988 -2.0763 6.0661
-2.3975 0.0000 6.0661
-2.0636 -1.1914 8.2766
-2.0827 1.2025 8.0881
1.1988 -2.0763 6.0661
0.0000 2.4050 4.0440
-1.1988 2.0763 6.0661
2.0636 1.1914 3.8555
2.3975 0.0000 6.0661
1.1988 2.0763 6.0661
2.0636 -1.1914 8.2766
0.0000 2.3829 8.2766
```